# 1
# CaSO6 PBE optimized geometry
data_CaSO6
_chemical_formula_sum 'Ca4 S4 O24'
_cell_length_a 6.009
_cell_length_b 20.668
_cell_length_c 5.032
_cell_angle_alpha 90.00
_cell_angle_beta 114.13
_cell_angle_gamma 90.00
_symmetry_space_group_name_H-M 'C 1 2/c 1'
_symmetry_Int_Tables_number 15
_symmetry_space_group_name_Hall '-C 2yc'
loop_
_atom_site_label
_atom_site_type_symbol
_atom_site_fract_x
_atom_site_fract_y
_atom_site_fract_z
Ca1 Ca 0.000 0.191 0.250
S1 S 0.000 0.322 0.750
O1 O 0.064 0.029 0.383
O2 O 0.073 0.279 0.557
O3 O 0.219 0.361 0.920
# ρ = 1.96 g cm⁻³

# 2
# CaS3O10 PBE optimized geometry
data_CaS3O10
_chemical_formula_sum 'Ca4 S12 O40'
_cell_length_a 8.577
_cell_length_b 9.207
_cell_length_c 13.185
_cell_angle_alpha 90.00
_cell_angle_beta 128.72
_cell_angle_gamma 90.00
_symmetry_space_group_name_H-M 'P 1 21/c 1'
_symmetry_Int_Tables_number 14
_symmetry_space_group_name_Hall '-P 2ybc'
loop_
_atom_site_label
_atom_site_type_symbol
_atom_site_fract_x
_atom_site_fract_y
_atom_site_fract_z
Ca1 Ca 0.223 0.226 0.021
S1 S 0.054 0.078 0.209
S2 S 0.298 0.612 0.140
S3 S 0.355 0.671 0.502
O1 O 0.003 0.071 0.832
O2 O 0.099 0.662 0.082
O3 O 0.122 0.158 0.149
O4 O 0.158 0.106 0.345
O5 O 0.177 0.661 0.351
O6 O 0.318 0.043 0.632
O7 O 0.328 0.570 0.572
O8 O 0.340 0.667 0.033
O9 O 0.456 0.680 0.261
O10 O 0.466 0.165 0.986
# ρ = 2.42 g cm⁻³

# 3
# CaSO6 PBE optimized geometry
data_CaSO6
_chemical_formula_sum 'Ca2 S2 O12'
_cell_length_a 5.638
_cell_length_b 6.054
_cell_length_c 4.913
_cell_angle_alpha 90.00
_cell_angle_beta 100.68
_cell_angle_gamma 90.00
_symmetry_space_group_name_H-M 'C 1 2/m 1'
_symmetry_Int_Tables_number 12
_symmetry_space_group_name_Hall '-C 2y'
loop_
_atom_site_label
_atom_site_type_symbol
_atom_site_fract_x
_atom_site_fract_y
_atom_site_fract_z
Ca1 Ca 0.000 0.000 0.000
S1 S 0.000 0.500 0.500
O1 O 0.124 0.321 0.732
O2 O 0.244 0.000 0.638
# ρ = 3.39 g cm⁻³

# 4
# CaS2O PBE optimized geometry
data_CaS2O
_chemical_formula_sum 'Ca4 S8 O4'
_cell_length_a 5.474
_cell_length_b 5.474
_cell_length_c 11.211
_cell_angle_alpha 90.00
_cell_angle_beta 90.00
_cell_angle_gamma 90.00
_symmetry_space_group_name_H-M 'I -4 2 d'
_symmetry_Int_Tables_number 122
_symmetry_space_group_name_Hall 'I -4 2bw'
loop_
_atom_site_label
_atom_site_type_symbol
_atom_site_fract_x
_atom_site_fract_y
_atom_site_fract_z
Ca1 Ca 0.000 0.000 0.000
S1 S 0.103 0.250 0.625
O1 O 0.000 0.000 0.500
# ρ = 2.38 g cm⁻³

# 5
# CaSc2SO PBE optimized geometry
data_CaSc2SO
_chemical_formula_sum 'Ca1 Sc2 S1 O1'
_cell_length_a 4.731
_cell_length_b 4.731
_cell_length_c 5.357
_cell_angle_alpha 90.00
_cell_angle_beta 90.00
_cell_angle_gamma 90.00
_symmetry_space_group_name_H-M 'P 4/m m m'
_symmetry_Int_Tables_number 123
_symmetry_space_group_name_Hall '-P 4 2'
loop_
_atom_site_label
_atom_site_type_symbol
_atom_site_fract_x
_atom_site_fract_y
_atom_site_fract_z
Ca1 Ca 0.000 0.000 0.000
Sc1 Sc 0.000 0.500 0.500
S1 S 0.000 0.000 0.500
O1 O 0.500 0.500 0.000
# ρ = 2.47 g cm⁻³

# 6
# CaSiSO2 PBE optimized geometry
data_CaSiSO2
_chemical_formula_sum 'Ca1 Si1 S1 O2'
_cell_length_a 4.026
_cell_length_b 4.026
_cell_length_c 5.177
_cell_angle_alpha 90.00
_cell_angle_beta 90.00
_cell_angle_gamma 90.00
_symmetry_space_group_name_H-M 'P 4/m m m'
_symmetry_Int_Tables_number 123
_symmetry_space_group_name_Hall '-P 4 2'
loop_
_atom_site_label
_atom_site_type_symbol
_atom_site_fract_x
_atom_site_fract_y
_atom_site_fract_z
Ca1 Ca 0.000 0.000 0.000
Si1 Si 0.500 0.500 0.000
S1 S 0.000 0.000 0.500
O1 O 0.000 0.500 0.500
# ρ = 2.62 g cm⁻³

# 7
# CaSnSO2 PBE optimized geometry
data_CaSnSO2
_chemical_formula_sum 'Ca1 Sn1 S1 O2'
_cell_length_a 4.207
_cell_length_b 4.207
_cell_length_c 5.088
_cell_angle_alpha 90.00
_cell_angle_beta 90.00
_cell_angle_gamma 90.00
_symmetry_space_group_name_H-M 'P 4/m m m'
_symmetry_Int_Tables_number 123
_symmetry_space_group_name_Hall '-P 4 2'
loop_
_atom_site_label
_atom_site_type_symbol
_atom_site_fract_x
_atom_site_fract_y
_atom_site_fract_z
Ca1 Ca 0.000 0.000 0.000
Sn1 Sn 0.500 0.500 0.000
S1 S 0.500 0.500 0.500
O1 O 0.000 0.500 0.500
# ρ = 4.11 g cm⁻³

# 8
# Ca2SnS2O2 PBE optimized geometry
data_Ca2SnS2O2
_chemical_formula_sum 'Ca4 Sn2 S4 O4'
_cell_length_a 12.319
_cell_length_b 3.751
_cell_length_c 6.738
_cell_angle_alpha 90.00
_cell_angle_beta 122.53
_cell_angle_gamma 90.00
_symmetry_space_group_name_H-M 'C 1 2/m 1'
_symmetry_Int_Tables_number 12
_symmetry_space_group_name_Hall '-C 2y'
loop_
_atom_site_label
_atom_site_type_symbol
_atom_site_fract_x
_atom_site_fract_y
_atom_site_fract_z
Ca1 Ca 0.203 0.000 0.242
Sn1 Sn 0.000 0.000 0.500
S1 S 0.069 0.500 0.819
O1 O 0.181 0.000 0.564
# ρ = 3.73 g cm⁻³

# 9
# SrCa2SO PBE optimized geometry
data_SrCa2SO
_chemical_formula_sum 'Sr1 Ca2 S1 O1'
_cell_length_a 5.200
_cell_length_b 5.200
_cell_length_c 5.782
_cell_angle_alpha 90.00
_cell_angle_beta 90.00
_cell_angle_gamma 90.00
_symmetry_space_group_name_H-M 'P 4/m m m'
_symmetry_Int_Tables_number 123
_symmetry_space_group_name_Hall '-P 4 2'
loop_
_atom_site_label
_atom_site_type_symbol
_atom_site_fract_x
_atom_site_fract_y
_atom_site_fract_z
Sr1 Sr 0.000 0.000 0.000
Ca1 Ca 0.000 0.500 0.500
S1 S 0.000 0.000 0.500
O1 O 0.500 0.500 0.000
# ρ = 2.29 g cm⁻³

# 10
# Sr4CaS4O16 PBE optimized geometry
data_Sr4CaS4O16
_chemical_formula_sum 'Sr4 Ca1 S4 O16'
_cell_length_a 4.815
_cell_length_b 5.158
_cell_length_c 16.347
_cell_angle_alpha 90.00
_cell_angle_beta 95.90
_cell_angle_gamma 90.00
_symmetry_space_group_name_H-M 'P 1 m 1'
_symmetry_Int_Tables_number 6
_symmetry_space_group_name_Hall 'P -2y'
loop_
_atom_site_label
_atom_site_type_symbol
_atom_site_fract_x
_atom_site_fract_y
_atom_site_fract_z
Sr1 Sr 0.000 0.000 0.000
Sr2 Sr 0.051 0.500 0.320
Sr3 Sr 0.424 0.500 0.735
Sr4 Sr 0.790 0.000 0.561
Ca1 Ca 0.514 0.500 0.149
S1 S 0.240 0.500 0.534
S2 S 0.531 0.000 0.326
S3 S 0.548 0.500 0.964
S4 S 0.984 0.000 0.762
O1 O 0.229 0.000 0.338
O2 O 0.294 0.000 0.763
O3 O 0.338 0.265 0.583
O4 O 0.348 0.500 0.454
O5 O 0.383 0.500 0.884
O6 O 0.481 0.266 0.014
O7 O 0.593 0.240 0.279
O8 O 0.709 0.000 0.406
O9 O 0.852 0.500 0.957
O10 O 0.875 0.235 0.714
O11 O 0.894 0.000 0.845
O12 O 0.928 0.500 0.526
# ρ = 3.19 g cm⁻³

# 11
# Sr2CaSO PBE optimized geometry
data_Sr2CaSO
_chemical_formula_sum 'Sr2 Ca1 S1 O1'
_cell_length_a 5.400
_cell_length_b 5.400
_cell_length_c 4.410
_cell_angle_alpha 90.00
_cell_angle_beta 90.00
_cell_angle_gamma 90.00
_symmetry_space_group_name_H-M 'P 4/m m m'
_symmetry_Int_Tables_number 123
_symmetry_space_group_name_Hall '-P 4 2'
loop_
_atom_site_label
_atom_site_type_symbol
_atom_site_fract_x
_atom_site_fract_y
_atom_site_fract_z
Sr1 Sr 0.000 0.500 0.000
Ca1 Ca 0.000 0.000 0.500
S1 S 0.500 0.500 0.500
O1 O 0.000 0.000 0.000
# ρ = 3.40 g cm⁻³

# 12
# CaTbS2O8 PBE optimized geometry
data_CaTbS2O8
_chemical_formula_sum 'Ca1 Tb1 S2 O8'
_cell_length_a 5.1626
_cell_length_b 5.1626
_cell_length_c 7.5106
_cell_angle_alpha 90.00
_cell_angle_beta 90.00
_cell_angle_gamma 120.00
_symmetry_space_group_name_H-M 'P -3 m 1'
_symmetry_Int_Tables_number 164
_symmetry_space_group_name_Hall '-P 3 2"'
loop_
_atom_site_label
_atom_site_type_symbol
_atom_site_fract_x
_atom_site_fract_y
_atom_site_fract_z
Ca1 Ca 0.0000 0.0000 0.0000
Tb1 Tb 0.0000 0.0000 0.5000
S1 S 0.3333 0.6667 0.8024
O1 O 0.1756 0.3512 0.7368
O2 O 0.3333 0.6667 0.9981
# ρ = 3.75 g cm⁻³

# 13
# Ca2TeSO PBE optimized geometry
data_Ca2TeSO
_chemical_formula_sum 'Ca2 Te1 S1 O1'
_cell_length_a 5.157
_cell_length_b 5.157
_cell_length_c 4.284
_cell_angle_alpha 90.00
_cell_angle_beta 90.00
_cell_angle_gamma 90.00
_symmetry_space_group_name_H-M 'P 4/m m m'
_symmetry_Int_Tables_number 123
_symmetry_space_group_name_Hall '-P 4 2'
loop_
_atom_site_label
_atom_site_type_symbol
_atom_site_fract_x
_atom_site_fract_y
_atom_site_fract_z
Ca1 Ca 0.000 0.500 0.000
Te1 Te 0.000 0.000 0.500
S1 S 0.500 0.500 0.500
O1 O 0.000 0.000 0.000
# ρ = 3.73 g cm⁻³

# 14
# CaThS2O8 PBE optimized geometry
data_CaThS2O8
_chemical_formula_sum 'Ca1 Th1 S2 O8'
_cell_length_a 6.0079
_cell_length_b 6.0079
_cell_length_c 7.1359
_cell_angle_alpha 90.00
_cell_angle_beta 90.00
_cell_angle_gamma 120.00
_symmetry_space_group_name_H-M 'P -3'
_symmetry_Int_Tables_number 147
_symmetry_space_group_name_Hall '-P 3'
loop_
_atom_site_label
_atom_site_type_symbol
_atom_site_fract_x
_atom_site_fract_y
_atom_site_fract_z
Ca1 Ca 0.0000 0.0000 0.0000
Th1 Th 0.0000 0.0000 0.5000
S1 S 0.3333 0.6667 0.7234
O1 O 0.1470 0.4054 0.6491
O2 O 0.3333 0.6667 0.9281
# ρ = 3.46 g cm⁻³

# 15
# CaTmS2O8 PBE optimized geometry
data_CaTmS2O8
_chemical_formula_sum 'Ca1 Tm1 S2 O8'
_cell_length_a 5.1324
_cell_length_b 5.1324
_cell_length_c 7.4274
_cell_angle_alpha 90.00
_cell_angle_beta 90.00
_cell_angle_gamma 120.00
_symmetry_space_group_name_H-M 'P -3 m 1'
_symmetry_Int_Tables_number 164
_symmetry_space_group_name_Hall '-P 3 2"'
loop_
_atom_site_label
_atom_site_type_symbol
_atom_site_fract_x
_atom_site_fract_y
_atom_site_fract_z
Ca1 Ca 0.0000 0.0000 0.0000
Tm1 Tm 0.0000 0.0000 0.5000
S1 S 0.3333 0.6667 0.7970
O1 O 0.1747 0.3493 0.7311
O2 O 0.3333 0.6667 0.9950
# ρ = 3.93 g cm⁻³

Formation energy from raw total energies across the listed records, respectively: -1.515, -1.588, -0.770, -0.417, -0.427, 0.224, -0.072, -1.911, -0.660, -2.061, -1.443, -1.985, -1.317, -1.752, -1.976 eV/atom.